(1)
Entry from Alexandria: a relaxed structure of BHOsN2 (PBEsol).

Unit cell a=2.6186 b=3.6881 c=3.6881 alpha=90.00 beta=90.00 gamma=90.00
With the nearest neighbours (Å) after each atom.
Atoms (fractional coordinates):
H 0.0000 0.0000 0.0000  2 B 1.31
Os 0.5000 0.5000 0.5000  8 N 2.26
B 0.5000 0.0000 0.0000  2 H 1.31
N 0.0000 0.5000 0.0000  2 H 1.84
N 0.0000 0.0000 0.5000  2 H 1.84

Output
Calculated total energy: -30.826 eV/cell
Symmetry: P4/mmm, No. 123
ρ: 10.7 g/cm3

---

(2)
Entry from Alexandria: a relaxed structure of Sr2CdAg (PBEsol).

Unit cell a=5.3103 b=5.3103 c=5.3103 alpha=60.00 beta=60.00 gamma=60.00
With the nearest neighbours (Å) after each atom.
Atoms (fractional coordinates):
Sr 0.0000 0.0000 0.0000  4 Sr 3.25, 4 Cd 3.25
Sr 0.7500 0.7500 0.7500  4 Sr 3.25, 4 Ag 3.25
Cd 0.2500 0.2500 0.2500  4 Ag 3.25, 4 Sr 3.25
Ag 0.5000 0.5000 0.5000  4 Sr 3.25, 4 Cd 3.25

Output
Calculated total energy: -8.537 eV/cell
Symmetry: F-43m, No. 216
ρ: 6.2 g/cm3

---

(3)
Entry from Alexandria: a relaxed structure of SiAgSb2 (PBEsol).

Unit cell a=3.6156 b=3.6156 c=6.8355 alpha=90.00 beta=90.00 gamma=90.00
With the nearest neighbours (Å) after each atom.
Atoms (fractional coordinates):
Si 0.0000 0.0000 0.5157  5 Sb 2.80-2.86, 4 Ag 2.95
Sb 0.5000 0.5000 0.3267  1 Ag 2.77, 4 Si 2.86
Ag 0.5000 0.5000 0.7318  5 Sb 2.77-2.88, 4 Si 2.95
Sb 0.0000 0.0000 0.9257  1 Si 2.80, 4 Ag 2.88

Output
Formation energy (no corrections): 244 meV per atom
Symmetry: P4mm, No. 99
ρ: 7.1 g/cm3

---

(4)
Entry from Alexandria: a relaxed structure of P5Ru (PBEsol).

Unit cell a=3.3518 b=4.2954 c=7.0349 alpha=107.78 beta=90.00 gamma=90.00
With the nearest neighbours (Å) after each atom.
Atoms (fractional coordinates):
P 0.5000 0.8463 0.6925  2 Ru 2.25, 2 P 2.38
P 0.0000 0.3856 0.7713  2 P 2.28, 2 Ru 2.36
P 0.5000 0.5492 0.0984  2 P 2.21
Ru 0.0000 0.9581 0.9162  4 P 2.25-2.36
P 0.0000 0.6569 0.3139  2 P 2.21
P 0.5000 0.2705 0.5410  4 P 2.28-2.38

Output
Calculated total energy: -38.264 eV/cell
Symmetry: Amm2, No. 38
ρ: 4.4 g/cm3

---

(5)
Entry from Alexandria: a relaxed structure of Zr2Sc (PBEsol).

Unit cell a=3.1985 b=6.0083 c=7.5237 alpha=103.12 beta=90.00 gamma=105.44
With the nearest neighbours (Å) after each atom.
Atoms (fractional coordinates):
Zr 0.3893 0.7786 0.2811  7 Zr 3.12-3.23, 5 Sc 3.12-3.16
Zr 0.0559 0.1119 0.6121  3 Sc 3.13-3.15, 9 Zr 3.14-3.20
Sc 0.9970 0.9939 0.9978  8 Zr 3.11-3.18, 4 Sc 3.20-3.24
Sc 0.6680 0.3360 0.3329  8 Zr 3.12-3.21, 4 Sc 3.20-3.24
Zr 0.7227 0.4454 0.9426  4 Sc 3.11-3.17, 8 Zr 3.13-3.23
Zr 0.3338 0.6676 0.6669  8 Zr 3.12-3.20, 4 Sc 3.18-3.21

Output
Calculated total energy: -49.575 eV/cell
Symmetry: Cm, No. 8
ρ: 5.6 g/cm3

---

(6)
Entry from Alexandria: a relaxed structure of Cs2LiPrCl6 (PBEsol).

Unit cell a=7.4604 b=7.4604 c=7.4604 alpha=60.00 beta=60.00 gamma=60.00
With the nearest neighbours (Å) after each atom.
Atoms (fractional coordinates):
Cl 0.7579 0.2421 0.7579  1 Li 2.55, 1 Pr 2.72
Cl 0.2421 0.2421 0.7579  1 Li 2.55, 1 Pr 2.72
Cl 0.7579 0.7579 0.2421  1 Li 2.55, 1 Pr 2.72
Cs 0.2500 0.2500 0.2500  12 Cl 3.73
Pr 0.5000 0.5000 0.5000  6 Cl 2.72
Cl 0.2421 0.7579 0.7579  1 Li 2.55, 1 Pr 2.72
Cs 0.7500 0.7500 0.7500  12 Cl 3.73
Cl 0.2421 0.7579 0.2421  1 Li 2.55, 1 Pr 2.72
Li 0.0000 0.0000 0.0000  6 Cl 2.55
Cl 0.7579 0.2421 0.2421  1 Li 2.55, 1 Pr 2.72

Output
Formation energy (no corrections): -2104 meV per atom
Symmetry: Fm-3m, No. 225
ρ: 3.5 g/cm3

---

(7)
Entry from Alexandria: a relaxed structure of LaTlSb2 (PBEsol).

Unit cell a=4.2071 b=4.2133 c=6.5127 alpha=90.00 beta=90.01 gamma=90.00
With the nearest neighbours (Å) after each atom.
Atoms (fractional coordinates):
Tl 0.5000 0.5000 0.0000  2 La 3.26, 8 Sb 3.44
Sb 0.9999 0.0000 0.2635  2 Sb 3.08-3.43, 4 La 3.35, 4 Tl 3.44
La 0.5000 0.5000 0.5000  2 Tl 3.26, 8 Sb 3.35
Sb 0.0001 0.0000 0.7365  2 Sb 3.08-3.43, 4 La 3.35, 4 Tl 3.44

Output
Formation energy (no corrections): -595 meV per atom
Symmetry: P4/mmm, No. 123
ρ: 8.4 g/cm3

---

(8)
Entry from Alexandria: a relaxed structure of Ca2NiOsO6 (PBEsol).

Unit cell a=5.2896 b=5.5467 c=7.5319 alpha=90.00 beta=89.59 gamma=90.00
With the nearest neighbours (Å) after each atom.
Atoms (fractional coordinates):
O 0.3126 0.2930 0.4494  1 Os 1.94, 1 Ni 2.05
O 0.5971 0.9694 0.2540  1 Os 1.93, 1 Ni 1.99
Ca 0.0170 0.0624 0.2513  6 O 2.28-2.52
Ca 0.4830 0.5624 0.2487  6 O 2.28-2.52
Ni 0.5000 0.0000 0.0000  6 O 1.99-2.05
Ca 0.5170 0.4376 0.7513  6 O 2.28-2.52
O 0.8126 0.2070 0.9494  1 Os 1.94, 1 Ni 2.05
Ca 0.9830 0.9376 0.7487  6 O 2.28-2.52
O 0.9029 0.4694 0.2460  1 Os 1.93, 1 Ni 1.99
O 0.2037 0.8058 0.4517  1 Os 1.94, 1 Ni 2.04
O 0.7963 0.1942 0.5483  1 Os 1.94, 1 Ni 2.04
Os 0.5000 0.0000 0.5000  6 O 1.93-1.94
O 0.0971 0.5306 0.7540  1 Os 1.93, 1 Ni 1.99
Os 0.0000 0.5000 0.0000  6 O 1.93-1.94
O 0.4029 0.0306 0.7460  1 Os 1.93, 1 Ni 1.99
O 0.1874 0.7930 0.0506  1 Os 1.94, 1 Ni 2.05
O 0.2963 0.3058 0.0483  1 Os 1.94, 1 Ni 2.04
Ni 0.0000 0.5000 0.5000  6 O 1.99-2.05
O 0.6874 0.7070 0.5506  1 Os 1.94, 1 Ni 2.05
O 0.7037 0.6942 0.9517  1 Os 1.94, 1 Ni 2.04

Output
Formation energy (no corrections): -1831 meV per atom
Symmetry: P2_1/c, No. 14
ρ: 6.4 g/cm3